(1)
A relaxed Tb3Dy2In2 crystal, computed with GGA-PBE.

Computed properties:
E ... -4.2022 eV per atom
Size of the total moment ... 0.0 μB per cell

a = 16.782 Å, b = 3.482 Å, c = 7.933 Å
α = 90.00°, β = 118.05°, γ = 90.00°
Space group C2/m (No. 12)
One atom of each set of equivalent atoms:
Tb (0.000, 0.000, 0.000) (multiplicity 2)
Tb (0.210, 0.000, 0.124) (multiplicity 4)
Dy (0.136, 0.000, 0.472) (multiplicity 4)
In (0.066, 0.500, 0.733) (multiplicity 4)

---

(2)
A relaxed K2LiCrPt crystal, computed with GGA-PBE.

Computed properties:
E ... -3.4897 eV per atom
Size of the total moment ... 4.5 μB per cell

a = 6.254 Å, b = 6.254 Å, c = 4.931 Å
α = 90.00°, β = 90.00°, γ = 90.00°
Space group P4/mmm (No. 123)
One atom of each set of equivalent atoms:
K (0.000, 0.500, 0.000) (multiplicity 2)
Li (0.000, 0.000, 0.500) (multiplicity 1)
Cr (0.500, 0.500, 0.500) (multiplicity 1)
Pt (0.500, 0.500, 0.000) (multiplicity 1)

---

(3)
A relaxed LaDyGa2Ir2 crystal, computed with GGA-PBE.

Computed properties:
E ... -6.3346 eV per atom
Size of the total moment ... 0.0 μB per cell

a = 4.4126 Å, b = 4.4126 Å, c = 7.4793 Å
α = 90.00°, β = 90.00°, γ = 120.00°
Space group P-3m1 (No. 164)
One atom of each set of equivalent atoms:
La (0.0000, 0.0000, 0.0000) (multiplicity 1)
Dy (0.0000, 0.0000, 0.5000) (multiplicity 1)
Ga (0.3333, 0.6667, 0.2769) (multiplicity 2)
Ir (0.3333, 0.6667, 0.7261) (multiplicity 2)

---

(4)
A relaxed AlAgBiF6 crystal, computed with GGA-PBE.

Computed properties:
Formation energy without anion corrections ... -21.62 eV per formula unit
Size of the total moment ... 0.0 μB per cell

a = 6.2347 Å, b = 6.2347 Å, c = 7.1974 Å
α = 90.00°, β = 90.00°, γ = 120.00°
Space group P-31c (No. 163)
One atom of each set of equivalent atoms:
Al (0.3333, 0.6667, 0.2500) (multiplicity 2)
Ag (0.3333, 0.6667, 0.7500) (multiplicity 2)
Bi (0.0000, 0.0000, 0.0000) (multiplicity 2)
F (0.1001, 0.4141, 0.1065) (multiplicity 12)

---

(5)
A relaxed TmPa2Ru crystal, computed with GGA-PBE.

Computed properties:
E ... -8.2017 eV per atom
Size of the total moment ... 0.0 μB per cell

a = 3.6393 Å, b = 3.6393 Å, c = 26.7199 Å
α = 90.00°, β = 90.00°, γ = 120.00°
Space group R-3m (No. 166, hexagonal axes)
One atom of each set of equivalent atoms:
Tm (0.0000, 0.0000, 0.0000) (multiplicity 3)
Pa (0.0000, 0.0000, 0.2323) (multiplicity 6)
Ru (0.0000, 0.0000, 0.5000) (multiplicity 3)

---

(6)
A relaxed LaMg2CrW crystal, computed with GGA-PBE.

Computed properties:
E ... -5.4977 eV per atom
Size of the total moment ... 0.0 μB per cell

a = 5.071 Å, b = 5.071 Å, c = 4.439 Å
α = 90.00°, β = 90.00°, γ = 90.00°
Space group P4/mmm (No. 123)
One atom of each set of equivalent atoms:
La (0.000, 0.000, 0.000) (multiplicity 1)
Mg (0.000, 0.500, 0.500) (multiplicity 2)
Cr (0.500, 0.500, 0.500) (multiplicity 1)
W (0.500, 0.500, 0.000) (multiplicity 1)

---

(7)
A relaxed LiCu2Ru crystal, computed with GGA-PBE.

Computed properties:
E ... -4.6870 eV per atom
Size of the total moment ... 0.0 μB per cell

a = 8.857 Å, b = 2.472 Å, c = 4.682 Å
α = 90.00°, β = 96.84°, γ = 90.00°
Space group C2/m (No. 12)
One atom of each set of equivalent atoms:
Li (0.000, 0.000, 0.000) (multiplicity 2)
Cu (0.246, 0.000, 0.748) (multiplicity 4)
Ru (0.000, 0.500, 0.500) (multiplicity 2)

---

(8)
A relaxed NaTc2I crystal, computed with GGA-PBE.

Computed properties:
Formation energy without anion corrections ... 5.45 eV per formula unit
Size of the total moment ... 0.0 μB per cell

a = 8.013 Å, b = 8.013 Å, c = 5.243 Å
α = 90.00°, β = 90.00°, γ = 90.00°
Space group I-42d (No. 122)
One atom of each set of equivalent atoms:
Na (0.000, 0.000, 0.000) (multiplicity 4)
Tc (0.194, 0.250, 0.625) (multiplicity 8)
I (0.000, 0.000, 0.500) (multiplicity 4)

---

(9)
A relaxed InMo2Cl crystal, computed with GGA-PBE.

Computed properties:
Formation energy without anion corrections ... 0.59 eV per formula unit
Size of the total moment ... 0.0 μB per cell

a = 3.145 Å, b = 3.145 Å, c = 8.085 Å
α = 90.00°, β = 90.00°, γ = 90.00°
Space group P4mm (No. 99)
One atom of each set of equivalent atoms:
In (0.000, 0.000, 0.000) (multiplicity 1)
Mo (0.000, 0.000, 0.409) (multiplicity 1)
Mo (0.500, 0.500, 0.230) (multiplicity 1)
Cl (0.500, 0.500, 0.633) (multiplicity 1)

---

(10)
A relaxed HfNb2AsOs crystal, computed with GGA-PBE.

Computed properties:
E ... -8.2912 eV per atom
Size of the total moment ... 0.0 μB per cell

a = 4.970 Å, b = 4.970 Å, c = 4.532 Å
α = 90.00°, β = 90.00°, γ = 90.00°
Space group P4/mmm (No. 123)
One atom of each set of equivalent atoms:
Hf (0.000, 0.000, 0.000) (multiplicity 1)
Nb (0.000, 0.500, 0.500) (multiplicity 2)
As (0.500, 0.500, 0.000) (multiplicity 1)
Os (0.500, 0.500, 0.500) (multiplicity 1)

---

(11)
A relaxed TmNiSn crystal, computed with GGA-PBE.

Computed properties:
E ... -5.1031 eV per atom
Size of the total moment ... 0.0 μB per cell

a = 4.6998 Å, b = 4.6998 Å, c = 20.7105 Å
α = 90.00°, β = 90.00°, γ = 120.00°
Space group R-3m (No. 166, hexagonal axes)
One atom of each set of equivalent atoms:
Tm (0.0000, 0.0000, 0.1195) (multiplicity 6)
Ni (0.0000, 0.0000, 0.2545) (multiplicity 6)
Sn (0.0000, 0.0000, 0.3857) (multiplicity 6)

---

(12)
A relaxed PaBRu4 crystal, computed with GGA-PBE.

Computed properties:
E ... -9.1604 eV per atom
Size of the total moment ... 0.0 μB per cell

a = 4.250 Å, b = 14.372 Å, c = 5.879 Å
α = 90.00°, β = 90.00°, γ = 90.00°
Space group Cmcm (No. 63)
One atom of each set of equivalent atoms:
Pa (0.000, 0.099, 0.250) (multiplicity 4)
B (0.000, 0.392, 0.250) (multiplicity 4)
Ru (0.000, 0.109, 0.750) (multiplicity 4)
Ru (0.000, 0.300, 0.517) (multiplicity 8)
Ru (0.000, 0.500, 0.000) (multiplicity 4)